Below is an optimized crystal structure of K3Nd2InS6, with properties calculated at the GGA-PBE level.

POSCAR file:
```
K3Nd2InS6
1.0
7.1208 -0.0021 -0.0009
-3.5605 6.1668 -0.0009
-1.1884 -2.0577 7.4237
K Nd In S
3 2 1 6
Direct
0.1673 0.8327 0.5000
0.8327 0.1673 0.5000
0.5000 0.5000 0.5000
0.3334 0.6666 0.0000
0.6666 0.3334 0.0000
0.0000 0.0000 0.0000
0.9317 0.6120 0.7951
0.7491 0.7491 0.2043
0.0683 0.3880 0.2049
0.6120 0.9317 0.7951
0.2509 0.2509 0.7957
0.3880 0.0683 0.2049
```

## Properties
Uncorrected formation energy ... -1499 meV/atom
V ... 27.2 Å³ per atom
Space-group type ... C2/m (12)

***

Below is an optimized crystal structure of LaAgPt2, with properties calculated at the GGA-PBE level.

POSCAR file:
```
LaAgPt2
1.0
10.1689 -0.0057 -0.0033
9.7273 2.9641 -0.0033
9.7273 1.4464 2.5873
Ag Pt La
1 2 1
Direct
0.5093 0.5093 0.5093
0.9942 0.9942 0.9942
0.2517 0.2517 0.2517
0.7448 0.7448 0.7448
```

## Properties
V ... 19.6 Å³ per atom
Formation energy ... 0.105 eV per atom
Space-group type ... R3m (160)

***

Below is an optimized crystal structure of KYPb, with properties calculated at the GGA-PBE level.

POSCAR file:
```
KYPb
1.0
13.4953 -0.0007 0.0102
0.0065 3.7384 0.0000
-0.0115 0.0000 4.7220
Pb Y K
2 2 2
Direct
0.6692 0.7489 0.7510
0.3308 0.2511 0.2490
0.4217 0.7505 0.7495
0.5783 0.2495 0.2505
0.1479 0.7524 0.7488
0.8521 0.2476 0.2512
```

## Properties
V ... 39.7 Å³ per atom
Formation energy ... -0.284 eV per atom
Space-group type ... P-1 (2)

***

Below is an optimized crystal structure of Ba3Mg2Cd9, with properties calculated at the GGA-PBE level.

POSCAR file:
```
Ba3Mg2Cd9
1.0
4.9519 0.0000 1.3301
1.7517 8.7712 3.3614
0.0957 0.7311 9.5267
Ba Mg Cd
3 2 9
Direct
0.0000 0.0000 0.0000
0.7087 0.2913 0.2913
0.2913 0.7087 0.7087
0.5000 0.3225 0.6775
0.5000 0.6775 0.3225
0.0000 0.5000 0.5000
0.6594 0.9867 0.6946
0.3406 0.0133 0.3054
0.6594 0.6946 0.9867
0.3406 0.3054 0.0133
0.8655 0.8449 0.4240
0.1345 0.1551 0.5760
0.8655 0.4240 0.8449
0.1345 0.5760 0.1551
```

## Properties
V ... 28.7 Å³ per atom
Formation energy ... -0.279 eV per atom
Space-group type ... Immm (71)

***

- The highest V belongs to which entry?
  KYPb

***

- Among the records above, which one has the highest V?
  KYPb